Computed, not measured: a relaxed CdInNi2 crystal at the PBE level of DFT. Values from VASP.

Summary:
For the formation energy, the calculation gives 67 meV per atom. For the calculated volume, the calculation gives 63 Å³/cell. For the raw total energy, the calculation gives -3.737 eV/atom. As for the density of states at the Fermi level: 2.61 states/eV per cell. The total magnetization comes out at 0.00 μB/f.u.

Cell and atoms, written as Quantum ESPRESSO input:
```
&SYSTEM
  ibrav = 0, nat = 4, ntyp = 3
/
ATOMIC_SPECIES
Cd 112.41 Cd.upf
In 114.82 In.upf
Ni 58.69 Ni.upf
ATOMIC_POSITIONS angstrom
Cd 0.000 0.000 0.000
In 1.911 0.000 2.150
Ni 0.000 0.000 4.300
Ni 0.000 1.911 2.150
CELL_PARAMETERS angstrom
-1.911 1.911 4.300
1.911 -1.911 4.300
1.911 1.911 -4.300
```

Computed, not measured: a relaxed KRb3Cl crystal at the PBE level of DFT. Values from VASP.

Summary:
The value obtained for the energy relative to the elements, uncorrected is -0.143 eV per atom. For the calculated volume, the calculation gives 500 Å³/cell. As for the excess energy over the best structure of this formula in the dataset: 573.0 meV per atom. For the raw total energy, the calculation gives -1.312 eV/atom. As for the density of states at the Fermi level: 7.59 states/eV per cell. The total magnetization comes out at 0.00 μB/f.u.

Cell and atoms, written as Quantum ESPRESSO input:
```
&SYSTEM
  ibrav = 0, nat = 5, ntyp = 3
/
ATOMIC_SPECIES
K 39.10 K.upf
Rb 85.47 Rb.upf
Cl 35.45 Cl.upf
ATOMIC_POSITIONS angstrom
K 0.000 0.000 0.000
Rb 0.000 0.000 3.969
Rb 0.000 3.969 0.000
Rb 3.969 0.000 0.000
Cl 3.969 3.969 3.969
CELL_PARAMETERS angstrom
7.939 0.000 0.000
0.000 7.939 0.000
0.000 0.000 7.939
```

Computed, not measured: a relaxed NaLa2Ta crystal at the PBE level of DFT. Values from VASP.

Summary:
For the formation energy, the calculation gives 877 meV per atom. For the calculated volume, the calculation gives 242 Å³/cell. As for the excess energy over the best structure of this formula in the dataset: 318.5 meV per atom. For the raw total energy, the calculation gives -4.880 eV/atom. As for the density of states at the Fermi level: 11.63 states/eV per cell. The total magnetization comes out at 1.74 μB/f.u.

Cell and atoms, written as Quantum ESPRESSO input:
```
&SYSTEM
  ibrav = 0, nat = 8, ntyp = 3
/
ATOMIC_SPECIES
Na 22.99 Na.upf
La 138.91 La.upf
Ta 180.95 Ta.upf
ATOMIC_POSITIONS angstrom
Na 0.000 0.000 0.000
Na 0.000 4.232 1.690
La 2.116 -1.888 2.535
La 2.344 2.116 0.845
La 2.116 6.121 -0.845
La 1.888 2.116 4.225
Ta 4.232 0.000 1.690
Ta 0.000 0.000 3.380
CELL_PARAMETERS angstrom
-4.232 4.232 3.380
4.232 -4.232 3.380
4.232 4.232 -3.380
```

> Which value of total magnetization does entry 2 give?

0.00 μB/f.u.